VASP calculation (PBE-GGA) on crystalline SrAcHSe2 at its relaxed geometry.

extended XYZ file:
```
10
Lattice="4.363 0.000 0.000 0.000 4.363 0.000 0.000 0.000 14.765" Properties=species:S:1:pos:R:3 pbc="T T T"
Sr 1.091 1.091 1.264
Sr 3.272 3.272 13.501
Ac 1.091 1.091 9.376
Ac 3.272 3.272 5.389
H 1.091 3.272 0.000
H 3.272 1.091 0.000
Se 1.091 1.091 5.993
Se 1.091 1.091 12.221
Se 3.272 3.272 2.544
Se 3.272 3.272 8.772
```

Properties
V: 28.11 Å³ per atom
DOS(E_F): 0.196 states/eV per atom
Electronic total energy: -0.3474 Ry/atom


VASP calculation (PBE-GGA) on crystalline TaSb2P at its relaxed geometry.

extended XYZ file:
```
4
Lattice="3.519 0.000 0.000 0.000 3.519 0.000 0.000 0.000 6.653" Properties=species:S:1:pos:R:3 pbc="T T T"
Ta 0.000 0.000 0.000
Sb 1.760 1.760 1.569
Sb 1.760 1.760 5.084
P 0.000 0.000 3.327
```

Properties
V: 20.60 Å³ per atom
DOS(E_F): 1.018 states/eV per atom
Electronic total energy: -0.4431 Ry/atom
E_form (uncorrected): 347.5 meV/atom